A relaxed structure of Li2BAu, computed with PBE-GGA.

electronic total energy = -3.39 eV per atom
space-group type = F-43m

Cell: 4.018 4.018 4.018 Å, 60.00 60.00 60.00°
Element x y z (fractional)
Au 0.250 0.250 0.250
B 0.500 0.500 0.500
Li 0.000 0.000 0.000
Li 0.750 0.750 0.750


A relaxed structure of LiBAu, computed with PBE-GGA.

electronic total energy = -3.73 eV per atom
space-group type = F-43m

Cell: 3.759 3.759 3.759 Å, 60.00 60.00 60.00°
Element x y z (fractional)
Au 0.250 0.250 0.250
B 0.000 0.000 0.000
Li 0.750 0.750 0.750


A relaxed structure of LiB4Au, computed with PBE-GGA.

electronic total energy = -5.02 eV per atom
space-group type = P6/mmm

Cell: 3.026 3.026 7.295 Å, 90.00 90.00 120.00°
Element x y z (fractional)
Au 0.000 0.000 0.500
B 0.667 0.333 0.230
B 0.333 0.667 0.230
B 0.667 0.333 0.770
B 0.333 0.667 0.770
Li 0.000 0.000 0.000


A relaxed structure of LiLuBAu, computed with PBE-GGA.

electronic total energy = -4.25 eV per atom
spin magnetization = 0.000 μB per formula unit
space-group type = F-43m

Cell: 4.316 4.316 4.316 Å, 60.00 60.00 60.00°
Element x y z (fractional)
Au 0.750 0.750 0.750
B 0.000 0.000 0.000
Li 0.500 0.500 0.500
Lu 0.250 0.250 0.250


A relaxed structure of LiLuBAu, computed with PBE-GGA.

electronic total energy = -4.03 eV per atom
spin magnetization = 0.000 μB per formula unit
space-group type = F-43m

Cell: 4.415 4.415 4.415 Å, 60.00 60.00 60.00°
Element x y z (fractional)
Au 0.750 0.750 0.750
B 0.500 0.500 0.500
Li 0.250 0.250 0.250
Lu 0.000 0.000 0.000


A relaxed structure of LiNiBAu, computed with PBE-GGA.

electronic total energy = -3.98 eV per atom
spin magnetization = 0.004 μB per formula unit
space-group type = F-43m

Cell: 4.056 4.056 4.056 Å, 60.00 60.00 60.00°
Element x y z (fractional)
Au 0.500 0.500 0.500
B 0.000 0.000 0.000
Li 0.250 0.250 0.250
Ni 0.750 0.750 0.750


A relaxed structure of LiTlBAu, computed with PBE-GGA.

electronic total energy = -3.00 eV per atom
space-group type = F-43m

Cell: 4.474 4.474 4.474 Å, 60.00 60.00 60.00°
Element x y z (fractional)
Au 0.750 0.750 0.750
B 0.000 0.000 0.000
Li 0.500 0.500 0.500
Tl 0.250 0.250 0.250


A relaxed structure of LiTlBAu, computed with PBE-GGA.

electronic total energy = -2.90 eV per atom
space-group type = F-43m

Cell: 4.563 4.563 4.563 Å, 60.00 60.00 60.00°
Element x y z (fractional)
Au 0.750 0.750 0.750
B 0.500 0.500 0.500
Li 0.250 0.250 0.250
Tl 0.000 0.000 0.000